(1)
Computed, not measured: a relaxed structure of Ba3Tc at the PBEsol level of DFT.

Calculated values
Calculated total energy (Ry per atom): -0.2718
Density of states at the Fermi level (states/eV/atom): 1.532
Total magnetization (μB per formula unit): 0.69
Energy of formation (eV per atom): 0.730
Crystal system: tetragonal
ρ (kg/m³): 5567

abc: 3.781 3.781 10.641
angles: 90.00 90.00 90.00
Sites, in units of the cell vectors:
1 Ba 0.000 0.000 0.000
2 Ba 0.500 0.500 0.326
3 Ba 0.500 0.500 0.674
4 Tc 0.000 0.000 0.500

(2)
Computed, not measured: a relaxed structure of BaTc3 at the PBEsol level of DFT.

Calculated values
Calculated total energy (Ry per atom): -0.6091
Density of states at the Fermi level (states/eV/atom): 1.085
Total magnetization (μB per formula unit): 0.00
Energy of formation (eV per atom): 0.700
Energy above the most stable polymorph in this dataset (kJ per mole of atoms): 0.0
Crystal system: orthorhombic
ρ (kg/m³): 8945

abc: 2.942 3.522 7.728
angles: 90.00 90.00 90.00
Sites, in units of the cell vectors:
1 Ba 0.000 0.000 0.000
2 Tc 0.000 0.000 0.500
3 Tc 0.500 0.500 0.341
4 Tc 0.500 0.500 0.659

(3)
Computed, not measured: a relaxed structure of Ba4TcTe at the PBEsol level of DFT.

Calculated values
Calculated total energy (Ry per atom): -0.2293
Density of states at the Fermi level (states/eV/atom): 1.633
Total magnetization (μB per formula unit): 1.45
Crystal system: cubic
ρ (kg/m³): 5709
Formation energy without anion corrections (meV per atom): 778

abc: 6.831 6.831 6.831
angles: 60.00 60.00 60.00
Sites, in units of the cell vectors:
1 Ba 0.125 0.125 0.125
2 Ba 0.125 0.125 0.625
3 Ba 0.125 0.625 0.125
4 Ba 0.625 0.125 0.125
5 Tc 0.500 0.500 0.500
6 Te 0.750 0.750 0.750

(4)
Computed, not measured: a relaxed structure of BaTiTc2 at the PBEsol level of DFT.

Calculated values
Calculated total energy (Ry per atom): -0.5414
Density of states at the Fermi level (states/eV/atom): 0.865
Total magnetization (μB per formula unit): 0.00
Energy of formation (eV per atom): 0.885
Crystal system: cubic
ρ (kg/m³): 8750

abc: 6.614 6.614 6.614
angles: 90.00 90.00 90.00
Sites, in units of the cell vectors:
1 Ba 0.000 0.000 0.000
2 Ba 0.000 0.500 0.500
3 Ba 0.500 0.000 0.500
4 Ba 0.500 0.500 0.000
5 Ti 0.000 0.000 0.500
6 Ti 0.000 0.500 0.000
7 Ti 0.500 0.000 0.000
8 Ti 0.500 0.500 0.500
9 Tc 0.250 0.250 0.250
10 Tc 0.250 0.250 0.750
11 Tc 0.250 0.750 0.250
12 Tc 0.250 0.750 0.750
13 Tc 0.750 0.250 0.250
14 Tc 0.750 0.250 0.750
15 Tc 0.750 0.750 0.250
16 Tc 0.750 0.750 0.750

(5)
Computed, not measured: a relaxed structure of BaTcW2 at the PBEsol level of DFT.

Calculated values
Calculated total energy (Ry per atom): -0.6876
Density of states at the Fermi level (states/eV/atom): 1.033
Total magnetization (μB per formula unit): 0.00
Energy of formation (eV per atom): 0.902
Energy above the most stable polymorph in this dataset (kJ per mole of atoms): 0.0
Crystal system: tetragonal
ρ (kg/m³): 12425

abc: 3.067 3.067 8.568
angles: 90.00 90.00 90.00
Sites, in units of the cell vectors:
1 Ba 0.000 0.000 0.000
2 Tc 0.000 0.000 0.500
3 W 0.500 0.500 0.324
4 W 0.500 0.500 0.676

(6)
Computed, not measured: a relaxed structure of BaTcW2 at the PBEsol level of DFT.

Calculated values
Calculated total energy (Ry per atom): -0.6802
Density of states at the Fermi level (states/eV/atom): 1.190
Total magnetization (μB per formula unit): 0.00
Energy of formation (eV per atom): 1.002
Energy above the most stable polymorph in this dataset (kJ per mole of atoms): 9.7
Crystal system: monoclinic
ρ (kg/m³): 10861

abc: 9.612 3.207 6.164
angles: 90.00 103.96 90.00
Sites, in units of the cell vectors:
1 Ba 0.000 0.000 0.000
2 Ba 0.500 0.500 0.000
3 Tc 0.000 0.500 0.500
4 Tc 0.500 0.000 0.500
5 W 0.208 0.000 0.626
6 W 0.292 0.500 0.374
7 W 0.708 0.500 0.626
8 W 0.792 0.000 0.374

(7)
Computed, not measured: a relaxed structure of BaTcW2 at the PBEsol level of DFT.

Calculated values
Calculated total energy (Ry per atom): -0.6480
Density of states at the Fermi level (states/eV/atom): 0.931
Total magnetization (μB per formula unit): 0.00
Energy of formation (eV per atom): 1.441
Energy above the most stable polymorph in this dataset (kJ per mole of atoms): 52.0
Crystal system: monoclinic
ρ (kg/m³): 13613

abc: 5.534 9.735 2.870
angles: 90.00 107.93 90.00
Sites, in units of the cell vectors:
1 Ba 0.000 0.000 0.000
2 Ba 0.500 0.500 0.000
3 Tc 0.000 0.500 0.000
4 Tc 0.500 0.000 0.000
5 W 0.250 0.250 0.500
6 W 0.250 0.750 0.500
7 W 0.750 0.250 0.500
8 W 0.750 0.750 0.500

(8)
Computed, not measured: a relaxed structure of BaTc3W at the PBEsol level of DFT.

Calculated values
Calculated total energy (Ry per atom): -0.6270
Density of states at the Fermi level (states/eV/atom): 0.808
Total magnetization (μB per formula unit): 2.46
Energy of formation (eV per atom): 1.420
Crystal system: cubic
ρ (kg/m³): 9205

abc: 4.806 4.806 4.806
angles: 90.00 90.00 90.00
Sites, in units of the cell vectors:
1 Ba 0.000 0.000 0.000
2 Tc 0.000 0.500 0.500
3 Tc 0.500 0.000 0.500
4 Tc 0.500 0.500 0.000
5 W 0.500 0.500 0.500

Question: Which value of total magnetization does entry 2 give?
Answer: 0.00 μB per formula unit

Copy entry 8 word for word.
Computed, not measured: a relaxed structure of BaTc3W at the PBEsol level of DFT.

Calculated values
Calculated total energy (Ry per atom): -0.6270
Density of states at the Fermi level (states/eV/atom): 0.808
Total magnetization (μB per formula unit): 2.46
Energy of formation (eV per atom): 1.420
Crystal system: cubic
ρ (kg/m³): 9205

abc: 4.806 4.806 4.806
angles: 90.00 90.00 90.00
Sites, in units of the cell vectors:
1 Ba 0.000 0.000 0.000
2 Tc 0.000 0.500 0.500
3 Tc 0.500 0.000 0.500
4 Tc 0.500 0.500 0.000
5 W 0.500 0.500 0.500

Copy entry 3 word for word.
Computed, not measured: a relaxed structure of Ba4TcTe at the PBEsol level of DFT.

Calculated values
Calculated total energy (Ry per atom): -0.2293
Density of states at the Fermi level (states/eV/atom): 1.633
Total magnetization (μB per formula unit): 1.45
Crystal system: cubic
ρ (kg/m³): 5709
Formation energy without anion corrections (meV per atom): 778

abc: 6.831 6.831 6.831
angles: 60.00 60.00 60.00
Sites, in units of the cell vectors:
1 Ba 0.125 0.125 0.125
2 Ba 0.125 0.125 0.625
3 Ba 0.125 0.625 0.125
4 Ba 0.625 0.125 0.125
5 Tc 0.500 0.500 0.500
6 Te 0.750 0.750 0.750